Compound: Ca2CdBi2
Source: Alexandria via LeMat-Bulk
Functional: PBE
Structure: optimized geometry

Output
Fermi-level density of states = 4.08 states/eV/cell
Raw total energy = -3.055 eV/atom
Formation enthalpy at 0 K = -0.519 eV per atom
V = 314.8 Å³/cell

a b c (Å): 8.252 8.252 4.623
angles (deg): 90.00 90.00 90.00
Sites, in units of the cell vectors:
Ca 0.167 0.667 0.500
Ca 0.667 0.833 0.500
Ca 0.833 0.333 0.500
Ca 0.333 0.167 0.500
Bi 0.362 0.862 0.000
Bi 0.862 0.638 0.000
Bi 0.638 0.138 0.000
Bi 0.138 0.362 0.000
Cd 0.000 0.000 0.000
Cd 0.500 0.500 0.000